The following is a GGA-PBE calculation of a relaxed structure of CePm2Br6, from Alexandria.

abc: 8.331 8.331 10.824
angles: 113.23 113.23 27.77
Fractional coordinates of all 9 atoms:
Ce1 0.000 0.000 0.000
Pm1 0.324 0.324 0.652
Pm2 0.676 0.676 0.348
Br1 0.027 0.027 0.290
Br2 0.317 0.317 0.375
Br3 0.350 0.350 0.945
Br4 0.650 0.650 0.055
Br5 0.683 0.683 0.625
Br6 0.973 0.973 0.710

Computed properties:
Energy (Ry/atom): -0.3283
Size of the total moment (μB/cell): 1.201
Formation energy without anion corrections (meV/atom): -1637
Relative energy among the computed polymorphs (eV/atom): 0.0000

The following is a GGA-PBE calculation of a relaxed structure of CePm2Br6, from Alexandria.

abc: 9.771 9.771 5.917
angles: 99.15 99.15 33.70
Fractional coordinates of all 9 atoms:
Ce1 0.000 0.000 0.000
Pm1 0.254 0.254 0.707
Pm2 0.746 0.746 0.293
Br1 0.094 0.094 0.636
Br2 0.246 0.246 0.215
Br3 0.414 0.414 0.839
Br4 0.586 0.586 0.161
Br5 0.754 0.754 0.785
Br6 0.906 0.906 0.364

Computed properties:
Energy (Ry/atom): -0.3153
Size of the total moment (μB/cell): 1.872
Formation energy without anion corrections (meV/atom): -1460
Relative energy among the computed polymorphs (eV/atom): 0.1764

The following is a GGA-PBE calculation of a relaxed structure of Ce2PmBr8, from Alexandria.

abc: 7.988 7.988 6.151
angles: 98.99 98.99 112.70
Fractional coordinates of all 11 atoms:
Ce1 0.189 0.811 0.000
Ce2 0.811 0.189 0.000
Pm1 0.500 0.500 0.500
Br1 0.146 0.146 0.315
Br2 0.167 0.425 0.889
Br3 0.281 0.719 0.500
Br4 0.425 0.167 0.889
Br5 0.575 0.833 0.111
Br6 0.719 0.281 0.500
Br7 0.833 0.575 0.111
Br8 0.854 0.854 0.685

Computed properties:
Energy (Ry/atom): -0.3207
Size of the total moment (μB/cell): 3.018
Formation energy without anion corrections (meV/atom): -1636

The following is a GGA-PBE calculation of a relaxed structure of CePmPtBr, from Alexandria.

abc: 8.190 8.190 8.190
angles: 29.54 29.54 29.54
Fractional coordinates of all 4 atoms:
Ce1 0.000 0.000 0.000
Pm1 0.798 0.798 0.798
Pt1 0.398 0.398 0.398
Br1 0.569 0.569 0.569

Computed properties:
Energy (Ry/atom): -0.4234
Size of the total moment (μB/cell): 1.128
Formation energy without anion corrections (meV/atom): -1161

The following is a GGA-PBE calculation of a relaxed structure of CePmRhBr, from Alexandria.

abc: 8.259 8.259 8.259
angles: 28.29 28.29 28.29
Fractional coordinates of all 4 atoms:
Ce1 0.000 0.000 0.000
Pm1 0.202 0.202 0.202
Rh1 0.605 0.605 0.605
Br1 0.435 0.435 0.435

Computed properties:
Energy (Ry/atom): -0.4368
Size of the total moment (μB/cell): 0.946
Formation energy without anion corrections (meV/atom): -1015

The following is a GGA-PBE calculation of a relaxed structure of CePmRuBr, from Alexandria.

abc: 3.985 3.985 8.245
angles: 104.06 104.06 59.98
Fractional coordinates of all 4 atoms:
Ce1 0.000 0.000 0.000
Pm1 0.203 0.203 0.607
Ru1 0.612 0.612 0.833
Br1 0.437 0.437 0.310

Computed properties:
Energy (Ry/atom): -0.4582
Size of the total moment (μB/cell): 0.319
Formation energy without anion corrections (meV/atom): -825

The following is a GGA-PBE calculation of a relaxed structure of CePmSnBr, from Alexandria.

abc: 5.413 5.413 5.413
angles: 60.00 60.00 60.00
Fractional coordinates of all 4 atoms:
Ce1 0.000 0.000 0.000
Pm1 0.500 0.500 0.500
Sn1 0.750 0.750 0.750
Br1 0.250 0.250 0.250

Computed properties:
Energy (Ry/atom): -0.3616
Size of the total moment (μB/cell): 1.706
Formation energy without anion corrections (meV/atom): -830

The following is a GGA-PBE calculation of a relaxed structure of CePmTcBr, from Alexandria.

abc: 3.706 4.130 8.196
angles: 79.99 77.05 63.56
Fractional coordinates of all 4 atoms:
Ce1 0.000 0.000 0.000
Pm1 0.251 0.090 0.401
Tc1 0.673 0.485 0.161
Br1 0.465 0.377 0.691

Computed properties:
Energy (Ry/atom): -0.4628
Size of the total moment (μB/cell): 0.000
Formation energy without anion corrections (meV/atom): -616

The following is a GGA-PBE calculation of a relaxed structure of CePmTeBr, from Alexandria.

abc: 5.356 5.356 5.356
angles: 60.00 60.00 60.00
Fractional coordinates of all 4 atoms:
Ce1 0.000 0.000 0.000
Pm1 0.500 0.500 0.500
Te1 0.250 0.250 0.250
Br1 0.750 0.750 0.750

Computed properties:
Energy (Ry/atom): -0.3688
Size of the total moment (μB/cell): 1.191
Formation energy without anion corrections (meV/atom): -1143

The following is a GGA-PBE calculation of a relaxed structure of CePrBr5, from Alexandria.

abc: 8.440 4.171 13.812
angles: 90.00 92.72 90.00
Fractional coordinates of all 14 atoms:
Ce1 0.076 0.250 0.156
Ce2 0.924 0.750 0.844
Pr1 0.404 0.750 0.347
Pr2 0.596 0.250 0.653
Br1 0.144 0.250 0.780
Br2 0.152 0.250 0.377
Br3 0.186 0.750 0.015
Br4 0.363 0.750 0.571
Br5 0.439 0.250 0.191
Br6 0.561 0.750 0.809
Br7 0.637 0.250 0.429
Br8 0.814 0.250 0.985
Br9 0.848 0.750 0.623
Br10 0.856 0.750 0.220

Computed properties:
Energy (Ry/atom): -0.3321
Size of the total moment (μB/cell): 3.933
Formation energy without anion corrections (meV/atom): -1793

The following is a GGA-PBE calculation of a relaxed structure of CePr2Br, from Alexandria.

abc: 10.736 10.736 10.736
angles: 20.06 20.06 20.06
Fractional coordinates of all 4 atoms:
Ce1 0.000 0.000 0.000
Pr1 0.243 0.243 0.243
Pr2 0.757 0.757 0.757
Br1 0.500 0.500 0.500

Computed properties:
Energy (Ry/atom): -0.3533
Size of the total moment (μB/cell): 0.974
Formation energy without anion corrections (meV/atom): -515
Relative energy among the computed polymorphs (eV/atom): 0.0000

The following is a GGA-PBE calculation of a relaxed structure of CePrBr, from Alexandria.

abc: 9.282 9.282 5.948
angles: 92.08 92.08 21.42
Fractional coordinates of all 6 atoms:
Ce1 0.025 0.025 0.214
Ce2 0.975 0.975 0.786
Pr1 0.157 0.157 0.741
Pr2 0.843 0.843 0.259
Br1 0.198 0.198 0.243
Br2 0.802 0.802 0.757

Computed properties:
Energy (Ry/atom): -0.3402
Size of the total moment (μB/cell): 2.191
Formation energy without anion corrections (meV/atom): -500
Relative energy among the computed polymorphs (eV/atom): 0.1314

The following is a GGA-PBE calculation of a relaxed structure of CePrBr, from Alexandria.

abc: 3.744 3.744 7.811
angles: 90.00 90.00 120.00
Fractional coordinates of all 3 atoms:
Ce1 0.000 0.000 0.000
Pr1 0.333 0.667 0.621
Br1 0.667 0.333 0.311

Computed properties:
Energy (Ry/atom): -0.3499
Size of the total moment (μB/cell): 1.802
Formation energy without anion corrections (meV/atom): -631
Relative energy among the computed polymorphs (eV/atom): 0.0000

The following is a GGA-PBE calculation of a relaxed structure of CePr2Br6, from Alexandria.

abc: 7.725 7.725 12.370
angles: 114.40 114.40 29.42
Fractional coordinates of all 9 atoms:
Ce1 0.000 0.000 0.000
Pr1 0.317 0.317 0.695
Pr2 0.683 0.683 0.305
Br1 0.014 0.014 0.247
Br2 0.219 0.219 0.137
Br3 0.343 0.343 0.460
Br4 0.657 0.657 0.540
Br5 0.781 0.781 0.863
Br6 0.986 0.986 0.753

Computed properties:
Energy (Ry/atom): -0.3275
Size of the total moment (μB/cell): 1.181
Formation energy without anion corrections (meV/atom): -1619

The following is a GGA-PBE calculation of a relaxed structure of CePr2Br, from Alexandria.

abc: 3.598 3.598 9.705
angles: 90.00 90.00 90.00
Fractional coordinates of all 4 atoms:
Ce1 0.000 0.000 0.000
Pr1 0.500 0.500 0.261
Pr2 0.500 0.500 0.739
Br1 0.000 0.000 0.500

Computed properties:
Energy (Ry/atom): -0.3470
Size of the total moment (μB/cell): 0.910
Formation energy without anion corrections (meV/atom): -429
Relative energy among the computed polymorphs (eV/atom): 0.0857

The following is a GGA-PBE calculation of a relaxed structure of CePrPtBr, from Alexandria.

abc: 8.232 8.232 8.232
angles: 29.56 29.56 29.56
Fractional coordinates of all 4 atoms:
Ce1 0.000 0.000 0.000
Pr1 0.800 0.800 0.800
Pt1 0.397 0.397 0.397
Br1 0.569 0.569 0.569

Computed properties:
Energy (Ry/atom): -0.4237
Size of the total moment (μB/cell): 1.155
Formation energy without anion corrections (meV/atom): -1158

The following is a GGA-PBE calculation of a relaxed structure of CePrTeBr, from Alexandria.

abc: 5.395 5.395 5.395
angles: 60.00 60.00 60.00
Fractional coordinates of all 4 atoms:
Ce1 0.000 0.000 0.000
Pr1 0.500 0.500 0.500
Te1 0.750 0.750 0.750
Br1 0.250 0.250 0.250

Computed properties:
Energy (Ry/atom): -0.3713
Size of the total moment (μB/cell): 1.160
Formation energy without anion corrections (meV/atom): -1170

The following is a GGA-PBE calculation of a relaxed structure of Ce4Pt2Br3, from Alexandria.

abc: 4.176 4.176 18.245
angles: 90.05 90.05 60.00
Fractional coordinates of all 9 atoms:
Ce1 0.001 0.001 0.298
Ce2 0.334 0.334 0.123
Ce3 0.666 0.666 0.877
Ce4 0.999 0.999 0.702
Pt1 0.333 0.333 0.792
Pt2 0.667 0.667 0.208
Br1 0.000 0.000 0.000
Br2 0.334 0.334 0.403
Br3 0.666 0.666 0.597

Computed properties:
Energy (Ry/atom): -0.4279
Size of the total moment (μB/cell): 4.568
Formation energy without anion corrections (meV/atom): -1285

The following is a GGA-PBE calculation of a relaxed structure of Ce3PtBr3, from Alexandria.

abc: 10.433 10.433 10.433
angles: 109.47 109.47 109.47
Fractional coordinates of all 28 atoms:
Ce1 0.012 0.024 0.262
Ce2 0.012 0.488 0.750
Ce3 0.024 0.262 0.012
Ce4 0.238 0.262 0.750
Ce5 0.238 0.476 0.488
Ce6 0.262 0.012 0.024
Ce7 0.262 0.750 0.238
Ce8 0.476 0.488 0.238
Ce9 0.488 0.238 0.476
Ce10 0.488 0.750 0.012
Ce11 0.750 0.012 0.488
Ce12 0.750 0.238 0.262
Pt1 0.000 0.250 0.500
Pt2 0.250 0.250 0.250
Pt3 0.250 0.500 0.000
Pt4 0.500 0.000 0.250
Br1 0.250 0.757 0.743
Br2 0.250 0.993 0.507
Br3 0.507 0.250 0.993
Br4 0.507 0.757 0.514
Br5 0.514 0.507 0.757
Br6 0.743 0.250 0.757
Br7 0.743 0.993 0.986
Br8 0.757 0.514 0.507
Br9 0.757 0.743 0.250
Br10 0.986 0.743 0.993
Br11 0.993 0.507 0.250
Br12 0.993 0.986 0.743

Computed properties:
Energy (Ry/atom): -0.4034
Size of the total moment (μB/cell): 14.613
Formation energy without anion corrections (meV/atom): -1365

The following is a GGA-PBE calculation of a relaxed structure of Ce4PtBr5, from Alexandria.

abc: 9.463 9.463 8.800
angles: 100.61 100.61 24.55
Fractional coordinates of all 10 atoms:
Ce1 0.003 0.003 0.222
Ce2 0.333 0.333 0.939
Ce3 0.667 0.667 0.061
Ce4 0.997 0.997 0.778
Pt1 0.500 0.500 0.000
Br1 0.165 0.165 0.798
Br2 0.168 0.168 0.320
Br3 0.500 0.500 0.500
Br4 0.832 0.832 0.680
Br5 0.835 0.835 0.202

Computed properties:
Energy (Ry/atom): -0.3863
Size of the total moment (μB/cell): 5.194
Formation energy without anion corrections (meV/atom): -1442
Relative energy among the computed polymorphs (eV/atom): 0.0000

The following is a GGA-PBE calculation of a relaxed structure of Ce2PtBr, from Alexandria.

abc: 8.183 8.183 8.183
angles: 29.21 29.21 29.21
Fractional coordinates of all 4 atoms:
Ce1 0.000 0.000 0.000
Ce2 0.197 0.197 0.197
Pt1 0.599 0.599 0.599
Br1 0.430 0.430 0.430

Computed properties:
Energy (Ry/atom): -0.4410
Size of the total moment (μB/cell): 2.257
Formation energy without anion corrections (meV/atom): -1105
Relative energy among the computed polymorphs (eV/atom): 0.0243

The following is a GGA-PBE calculation of a relaxed structure of Ce4Pt2Br5, from Alexandria.

abc: 9.351 9.351 9.351
angles: 157.15 98.26 86.26
Fractional coordinates of all 11 atoms:
Ce1 0.182 0.182 0.000
Ce2 0.350 0.000 0.350
Ce3 0.650 0.000 0.650
Ce4 0.818 0.818 0.000
Pt1 0.394 0.394 0.000
Pt2 0.606 0.606 0.000
Br1 0.000 0.500 0.500
Br2 0.062 0.352 0.711
Br3 0.359 0.648 0.711
Br4 0.641 0.352 0.289
Br5 0.938 0.648 0.289

Computed properties:
Energy (Ry/atom): -0.3836
Size of the total moment (μB/cell): 5.313
Formation energy without anion corrections (meV/atom): -1203

The following is a GGA-PBE calculation of a relaxed structure of Ce4PtBr5, from Alexandria.

abc: 10.548 10.548 7.755
angles: 100.26 100.26 22.19
Fractional coordinates of all 10 atoms:
Ce1 0.057 0.057 0.325
Ce2 0.384 0.384 0.207
Ce3 0.616 0.616 0.793
Ce4 0.943 0.943 0.675
Pt1 0.500 0.500 0.500
Br1 0.165 0.165 0.084
Br2 0.182 0.182 0.595
Br3 0.500 0.500 0.000
Br4 0.818 0.818 0.405
Br5 0.835 0.835 0.916

Computed properties:
Energy (Ry/atom): -0.3832
Size of the total moment (μB/cell): 5.184
Formation energy without anion corrections (meV/atom): -1400
Relative energy among the computed polymorphs (eV/atom): 0.0421

The following is a GGA-PBE calculation of a relaxed structure of Ce2PtBr, from Alexandria.

abc: 7.898 7.898 7.898
angles: 30.81 30.81 30.81
Fractional coordinates of all 4 atoms:
Ce1 0.235 0.235 0.235
Ce2 0.765 0.765 0.765
Pt1 0.500 0.500 0.500
Br1 0.000 0.000 0.000

Computed properties:
Energy (Ry/atom): -0.4428
Size of the total moment (μB/cell): 2.282
Formation energy without anion corrections (meV/atom): -1129
Relative energy among the computed polymorphs (eV/atom): 0.0000

The following is a GGA-PBE calculation of a relaxed structure of Ce8Ru3PtBr4, from Alexandria.

abc: 9.008 9.008 9.008
angles: 53.67 53.67 53.67
Fractional coordinates of all 16 atoms:
Ce1 0.222 0.738 0.738
Ce2 0.233 0.233 0.233
Ce3 0.262 0.262 0.778
Ce4 0.262 0.778 0.262
Ce5 0.738 0.222 0.738
Ce6 0.738 0.738 0.222
Ce7 0.767 0.767 0.767
Ce8 0.778 0.262 0.262
Ru1 0.000 0.000 0.500
Ru2 0.000 0.500 0.000
Ru3 0.500 0.000 0.000
Pt1 0.500 0.500 0.500
Br1 0.000 0.000 0.000
Br2 0.000 0.500 0.500
Br3 0.500 0.000 0.500
Br4 0.500 0.500 0.000

Computed properties:
Energy (Ry/atom): -0.4704
Size of the total moment (μB/cell): 6.343
Formation energy without anion corrections (meV/atom): -898